Record 1
This record from Alexandria describes an optimized crystal structure of Er2FePt. The functional is PBE.

The formation enthalpy at 0 K is -13.4 kcal/mol of atoms. The uncorrected energy is -25.95 eV per cell. The value obtained for the size of the total moment is 0.00 μB/cell.

Lattice parameters (Å, degrees): 3.409 3.409 6.625 90.00 90.00 90.00
Fractional positions:
Er 0.000 0.000 0.241
Er 0.000 0.000 0.759
Fe 0.500 0.500 0.000
Pt 0.500 0.500 0.500

***

Record 2
This record from Alexandria describes an optimized crystal structure of Ba2NdPd4Pb3. The functional is PBE.

The formation enthalpy at 0 K is -13.2 kcal/mol of atoms. The uncorrected energy is -46.23 eV per cell. The value obtained for the size of the total moment is 0.00 μB/cell.

Lattice parameters (Å, degrees): 4.871 4.871 11.586 90.00 90.00 90.00
Fractional positions:
Ba 0.000 0.500 0.228
Ba 0.500 0.000 0.772
Nd 0.000 0.000 0.500
Pd 0.000 0.000 0.000
Pd 0.000 0.500 0.643
Pd 0.500 0.000 0.357
Pd 0.500 0.500 0.000
Pb 0.000 0.500 0.883
Pb 0.500 0.000 0.117
Pb 0.500 0.500 0.500